1.
DFT (GGA-PBE) results for crystalline BaLiTc2N4 at its relaxed geometry.

Cell lengths 4.7520, 4.7520, 10.8507 Å; angles 90.00, 90.00, 90.00 degrees
With the nearest neighbours (Å) after each atom.
Space group I-42m (No. 121)
Symmetry-distinct sites (fractional):
Ba 0.0000 0.0000 0.0000 x2  4 N 2.61
Li 0.0000 0.0000 0.5000 x2  4 N 2.30
Tc 0.0000 0.5000 0.2500 x4  4 N 1.93
N 0.2156 0.2156 0.6642 x8  2 Tc 1.93

***

2.
DFT (GGA-PBE) results for crystalline Mg2BeO at its relaxed geometry.

Cell lengths 5.7955, 5.7955, 7.5257 Å; angles 90.00, 90.00, 90.00 degrees
With the nearest neighbours (Å) after each atom.
Space group I-42d (No. 122)
Symmetry-distinct sites (fractional):
Mg 0.1608 0.2500 0.1250 x8  2 O 1.96
Be 0.0000 0.0000 0.5000 x4  4 Mg 2.62
O 0.0000 0.0000 0.0000 x4  4 Mg 1.96

***

Number 1: total energy -0.543 Ry per atom, N(E_F) 0.75 states/eV per atom, E_form (uncorrected) -161 meV/atom. Number 2: total energy -0.275 Ry per atom, N(E_F) 0.00 states/eV per atom, E_form (uncorrected) -775 meV/atom.